## Sr2LaCdNi (PBE-GGA)

Data for a geometry-optimized Sr2LaCdNi structure.

Summary:
E = -3.07 eV per atom
Magnetization = 0.0 μB per cell

Cell: 5.8867 5.8867 5.2370 Å, 90.00 90.00 90.00°
Closest atoms and distances in Å follow each position.
Space group P4/mmm (No. 123)
One atom of each set of equivalent atoms:
Sr 0.0000 0.5000 0.0000 (multiplicity 2)  2 Ni 2.94
La 0.0000 0.0000 0.5000 (multiplicity 1)  2 Ni 2.62
Cd 0.5000 0.5000 0.5000 (multiplicity 1)  8 Sr 3.94, 4 La 4.16
Ni 0.0000 0.0000 0.0000 (multiplicity 1)  2 La 2.62

## LaTbCdNi (PBE-GGA)

Data for a geometry-optimized LaTbCdNi structure.

Summary:
E = -4.27 eV per atom
Magnetization = 0.0 μB per cell

Cell: 7.3623 7.3623 7.3623 Å, 90.00 90.00 90.00°
Closest atoms and distances in Å follow each position.
Space group F-43m (No. 216)
One atom of each set of equivalent atoms:
La 0.0000 0.0000 0.0000 (multiplicity 4)  4 Cd 3.19, 4 Ni 3.19
Tb 0.0000 0.0000 0.5000 (multiplicity 4)  4 Cd 3.19, 4 Ni 3.19
Cd 0.2500 0.2500 0.7500 (multiplicity 4)  4 Tb 3.19, 4 La 3.19
Ni 0.2500 0.2500 0.2500 (multiplicity 4)  4 Tb 3.19, 4 La 3.19

## La2CdNiTe (PBE-GGA)

Data for a geometry-optimized La2CdNiTe structure.

Summary:
Formation energy from raw total energies = -317 kJ/mol of formula units
Magnetization = 0.0 μB per cell

Cell: 5.3700 5.3700 4.9528 Å, 90.00 90.00 90.00°
Closest atoms and distances in Å follow each position.
Space group P4/mmm (No. 123)
One atom of each set of equivalent atoms:
La 0.0000 0.5000 0.0000 (multiplicity 2)  2 Ni 2.68
Cd 0.0000 0.0000 0.5000 (multiplicity 1)  2 Ni 2.48
Ni 0.0000 0.0000 0.0000 (multiplicity 1)  2 Cd 2.48, 4 La 2.68
Te 0.5000 0.5000 0.5000 (multiplicity 1)  8 La 3.65, 4 Cd 3.80

Listing density of states at the Fermi level for the structures above in their given order: 4.54, 14.67, 4.00 states/eV/cell.
Listing density for the structures above in their given order: 4.44, 7.81, 6.70 Mg/m³.